PBE-GGA Dy2Ho5Mg, relaxed; energy relative to the lowest polymorph listed for this composition = 0.00 eV per formula unit
1.0
6.9751 0.0002 -0.0005
0.0003 6.9754 0.0004
-3.4877 -3.4876 4.9460
Dy Ho Mg
2 5 1
Direct
0.7222 0.2222 0.4443
0.2221 0.7221 0.4443
0.2221 0.7222 0.9443
0.7222 0.7222 0.4443
0.7222 0.2221 0.9443
0.2221 0.2221 0.9442
0.7222 0.7222 0.9443
0.2219 0.2219 0.4440

---

PBE-GGA Dy2HoMg4, relaxed; energy relative to the lowest polymorph listed for this composition = 0.00 eV per formula unit
1.0
5.1185 0.0000 -1.6316
-0.5201 5.0920 -1.6316
-0.2280 -0.2525 8.1290
Mg Ho Dy
4 1 2
Direct
0.8830 0.3830 0.7659
0.1170 0.6170 0.2341
0.3830 0.8830 0.7659
0.6170 0.1170 0.2341
0.0000 0.0000 0.0000
0.7500 0.7500 0.4999
0.2500 0.2500 0.5001

---

Material: Dy2Ho5Mg5
Method: DFT, PBE-GGA
State: relaxed

```
Dy2Ho5Mg5
1.0
5.2634 0.0000 0.0000
-2.6317 6.0065 -0.4539
0.0000 -3.0553 10.8680
Ho Mg Dy
5 5 2
Direct
0.3425 0.6851 0.0164
0.3958 0.7915 0.7451
0.5000 0.0000 0.5000
0.6042 0.2085 0.2549
0.6575 0.3149 0.9836
0.0000 0.0000 0.0000
0.2429 0.4858 0.2381
0.8263 0.6525 0.5240
0.1737 0.3475 0.4760
0.7571 0.5142 0.7619
0.0891 0.1783 0.7415
0.9109 0.8217 0.2585
```

---

Material: Dy2Ho3Mg7
Method: DFT, PBE-GGA
State: relaxed

```
Dy2Ho3Mg7
1.0
-1.2886 -4.9456 -0.4778
0.1864 -0.5411 5.0976
-12.5955 3.4512 -1.7540
Mg Ho Dy
7 3 2
Direct
0.0000 0.7291 0.4581
0.5000 0.0718 0.1436
0.0000 0.4285 0.8570
0.0000 0.5715 0.1430
0.0000 0.0000 0.0000
0.0000 0.2709 0.5419
0.5000 0.9282 0.8564
0.5000 0.3429 0.6858
0.5000 0.5000 0.0000
0.5000 0.6571 0.3142
0.0000 0.8558 0.7117
0.0000 0.1442 0.2883
```

---

Material: Dy5Ho6Mg
Method: DFT, PBE-GGA
State: relaxed

```
Dy5Ho6Mg
1.0
-4.6958 0.5395 -1.5249
0.3982 -8.4239 3.8669
1.0886 6.1203 6.8871
Ho Dy Mg
6 5 1
Direct
0.7518 0.5845 0.9191
0.2482 0.0809 0.4155
0.2499 0.7498 0.7498
0.7518 0.9191 0.5845
0.7501 0.2502 0.2502
0.2482 0.4155 0.0809
0.5000 0.5000 0.5000
0.0000 0.6656 0.3344
0.5000 0.8329 0.1671
0.0000 0.3344 0.6656
0.5000 0.1671 0.8329
0.0000 0.0000 0.0000
```

---

Material: Dy3HoMg8
Method: DFT, PBE-GGA
State: relaxed

```
Dy3HoMg8
1.0
-0.7174 5.7407 1.8124
-1.9370 -4.5504 3.5067
8.6877 -0.3046 4.4036
Mg Dy Ho
8 3 1
Direct
0.3333 0.6667 0.0000
0.3333 0.6667 0.5000
0.5042 0.0084 0.7499
0.6749 0.8374 0.2501
0.5042 0.4958 0.7499
0.1626 0.3251 0.2501
0.1626 0.8374 0.2501
0.9916 0.4958 0.7499
0.0000 0.0000 0.9352
0.6667 0.3333 0.0646
0.6667 0.3333 0.4363
0.0000 0.0000 0.5639
```

---

PBE-GGA Dy2HoMg2, relaxed; energy relative to the lowest polymorph listed for this composition = 0.87 eV per formula unit
1.0
0.5618 5.3721 -5.2400
-3.7205 -5.6381 3.3170
-1.6654 7.5497 8.8807
Dy Mg Ho
4 4 2
Direct
0.6509 0.3600 0.0060
0.3491 0.6400 0.9940
0.8600 0.1509 0.5060
0.1400 0.8491 0.4940
0.6114 0.8886 0.7500
0.7355 0.7645 0.2500
0.2645 0.2355 0.7500
0.3886 0.1114 0.2500
0.9421 0.5579 0.7500
0.0579 0.4421 0.2500

---

PBE-GGA Dy8Ho2Mg, relaxed; energy relative to the lowest polymorph listed for this composition = 0.00 eV per formula unit
1.0
-0.4749 -0.8505 5.4516
3.9422 -5.0449 -0.4436
8.1556 5.6239 -1.2250
Dy Ho Mg
8 2 1
Direct
0.8465 0.8104 0.6930
0.6613 0.8772 0.3226
0.0450 0.7388 0.0900
0.9550 0.2612 0.9100
0.4199 0.5945 0.8397
0.1535 0.1896 0.3070
0.5801 0.4055 0.1603
0.3387 0.1228 0.6774
0.7590 0.3355 0.5181
0.2410 0.6645 0.4819
0.5000 0.0000 0.0000

---

Material: Dy2HoMg8
Method: DFT, PBE-GGA
State: relaxed

```
Dy2HoMg8
1.0
-0.3021 3.2916 -4.1210
7.4471 -1.4271 -1.6859
-5.5305 -6.2763 -1.2215
Mg Ho Dy
8 1 2
Direct
0.6346 0.8262 0.2693
0.0000 0.2931 0.0000
0.3653 0.5569 0.7307
0.3654 0.1738 0.7307
0.8472 0.8472 0.6944
0.6347 0.4431 0.2693
0.1528 0.1528 0.3056
0.0000 0.7069 0.0000
0.5000 0.0000 0.0000
0.2122 0.7122 0.4243
0.7878 0.2878 0.5757
```

---

Material: Dy3HoMg4
Method: DFT, PBE-GGA
State: relaxed

```
Dy3HoMg4
1.0
-2.4608 1.1242 2.6443
-2.7385 -1.9717 -1.7102
3.4823 -12.1149 8.3914
Mg Dy Ho
4 3 1
Direct
0.0000 0.0000 0.8756
0.0000 0.0000 0.3748
0.0000 0.0000 0.6252
0.0000 0.0000 0.1244
0.5000 0.5000 0.2496
0.5000 0.5000 0.5000
0.5000 0.5000 0.7504
0.5000 0.5000 0.0000
```

---

Material: Dy5Ho8Mg
Method: DFT, PBE-GGA
State: relaxed

```
Dy5Ho8Mg
1.0
-8.3472 0.0716 0.4622
2.8167 -7.8282 -0.8250
2.9333 3.4380 7.0335
Dy Ho Mg
5 8 1
Direct
0.2879 0.1037 0.9748
0.8157 0.6868 0.7121
0.0252 0.3132 0.1289
0.5000 0.0000 0.5000
0.8711 0.8963 0.1843
0.3428 0.2702 0.4346
0.5654 0.9082 0.8356
0.5231 0.6048 0.2652
0.9275 0.0918 0.6572
0.1644 0.7298 0.0725
0.6605 0.3952 0.9183
0.0817 0.7422 0.4769
0.7348 0.2578 0.3395
0.2500 0.5000 0.7500
```

---

PBE-GGA DyHo2Mg2, relaxed; energy relative to the lowest polymorph listed for this composition = 1.85 eV per formula unit
1.0
-2.2317 3.7727 1.0866
-1.5436 0.3061 -4.2330
-10.1299 -10.2396 5.3627
Ho Mg Dy
4 4 2
Direct
0.1728 0.1727 0.3455
0.5000 0.0000 0.0000
0.0000 0.5000 0.0000
0.8272 0.8272 0.6545
0.2500 0.7500 0.5000
0.7500 0.2500 0.5000
0.0744 0.0744 0.1488
0.9256 0.9256 0.8512
0.6118 0.6118 0.2236
0.3882 0.3882 0.7764

---

Material: DyHo2Mg5
Method: DFT, PBE-GGA
State: relaxed

```
DyHo2Mg5
1.0
-3.0764 -3.2226 -2.7575
-0.4328 -3.1502 4.1644
-4.3214 7.0356 1.5768
Mg Ho Dy
5 2 1
Direct
0.5000 0.5000 0.0000
0.8798 0.3798 0.7597
0.6202 0.1202 0.2403
0.3798 0.8798 0.7597
0.1202 0.6202 0.2403
0.2559 0.2559 0.5118
0.7441 0.7441 0.4882
0.0000 0.0000 0.0000
```

---

PBE-GGA Dy8Ho6Mg, relaxed; energy relative to the lowest polymorph listed for this composition = 2.11 eV per formula unit
1.0
-4.2334 3.6860 -3.5093
6.4576 1.3098 -6.4143
-5.7205 -7.1719 -0.6321
Ho Dy Mg
6 8 1
Direct
0.6079 0.9149 0.5923
0.3921 0.0851 0.4077
0.3921 0.3226 0.9149
0.6079 0.4077 0.3226
0.6079 0.6774 0.0851
0.3921 0.5923 0.6774
0.8844 0.6906 0.6810
0.8844 0.3190 0.0095
0.8844 0.9905 0.3094
0.8329 0.3333 0.6667
0.1156 0.6810 0.9905
0.1671 0.6667 0.3333
0.1156 0.0095 0.6906
0.1156 0.3094 0.3190
0.5000 0.0000 0.0000

---

PBE-GGA Dy12Ho6Mg, relaxed; energy relative to the lowest polymorph listed for this composition = 0.08 eV per formula unit
1.0
-3.5584 7.6498 1.4458
-6.1185 -3.0960 -5.1235
-2.6024 -3.7931 7.2188
Ho Dy Mg
6 12 1
Direct
0.1367 0.4082 0.1361
0.8633 0.5918 0.8639
0.8639 0.8633 0.5918
0.1361 0.1367 0.4082
0.5918 0.8639 0.8633
0.4082 0.1361 0.1367
0.7383 0.9996 0.2617
0.9996 0.2617 0.7383
0.2617 0.0004 0.7383
0.7383 0.2617 0.0004
0.4129 0.4128 0.8328
0.0004 0.7383 0.2617
0.5872 0.1672 0.5871
0.5871 0.5872 0.1672
0.1672 0.5871 0.5872
0.2617 0.7383 0.9996
0.8328 0.4129 0.4128
0.4128 0.8328 0.4129
0.0000 0.0000 0.0000

---

Material: Dy3Ho12Mg
Method: DFT, PBE-GGA
State: relaxed

```
Dy3Ho12Mg
1.0
4.9632 0.0000 0.0000
0.0000 4.9632 0.0000
0.0000 0.0000 19.9063
Dy Ho Mg
3 12 1
Direct
0.0000 0.0000 0.5000
0.0000 0.0000 0.2483
0.0000 0.0000 0.7517
0.5000 0.0000 0.1231
0.0000 0.5000 0.6262
0.0000 0.5000 0.8769
0.5000 0.0000 0.3738
0.5000 0.5000 0.5000
0.5000 0.0000 0.8769
0.5000 0.0000 0.6262
0.5000 0.5000 0.0000
0.5000 0.5000 0.2457
0.0000 0.5000 0.1231
0.5000 0.5000 0.7543
0.0000 0.5000 0.3738
0.0000 0.0000 0.0000
```

---

Material: Dy2Ho2Mg3
Method: DFT, PBE-GGA
State: relaxed

```
Dy2Ho2Mg3
1.0
-6.3218 -4.1684 -3.0066
3.4705 4.3416 -5.9570
5.4526 -5.1987 3.1021
Dy Ho Mg
4 4 6
Direct
0.1622 0.6622 0.6622
0.3378 0.5000 0.0000
0.5000 0.8378 0.5000
0.0000 0.0000 0.8378
0.0000 0.0000 0.3522
0.5000 0.3522 0.5000
0.6478 0.1478 0.1478
0.8522 0.5000 0.0000
0.3820 0.1320 0.7500
0.1180 0.3680 0.2500
0.2500 0.8820 0.1320
0.8680 0.2500 0.6180
0.6320 0.7500 0.8820
0.7500 0.6180 0.3680
```

---

Material: DyHo3Mg12
Method: DFT, PBE-GGA
State: relaxed

```
DyHo3Mg12
1.0
-3.8094 -2.1557 1.4719
2.0118 -0.7655 4.0856
-6.8282 16.4689 6.4481
Dy Mg Ho
1 12 3
Direct
0.0000 0.0000 0.0000
0.0000 0.5000 0.3752
0.5000 0.0000 0.3752
0.5000 0.5000 0.2507
0.0000 0.5000 0.1254
0.5000 0.5000 0.5000
0.5000 0.5000 0.0000
0.0000 0.5000 0.8746
0.5000 0.5000 0.7493
0.5000 0.0000 0.1254
0.5000 0.0000 0.8746
0.5000 0.0000 0.6248
0.0000 0.5000 0.6248
0.0000 0.0000 0.5000
0.0000 0.0000 0.7496
0.0000 0.0000 0.2504
```

---

Material: Dy14HoMg
Method: DFT, PBE-GGA
State: relaxed

```
Dy14HoMg
1.0
6.9808 0.9367 0.0000
-0.9365 6.9808 0.0000
0.0000 0.0000 9.9682
Dy Mg Ho
14 1 1
Direct
0.3751 0.6249 0.5000
0.6261 0.8760 0.7510
0.8751 0.1249 0.5000
0.8750 0.6250 0.0000
0.3750 0.1250 0.0000
0.6261 0.3739 0.2489
0.1240 0.8760 0.2490
0.3751 0.1249 0.5000
0.1240 0.3739 0.2490
0.1240 0.8760 0.7510
0.6261 0.3739 0.7511
0.8751 0.6249 0.5000
0.1240 0.3739 0.7510
0.6261 0.8760 0.2490
0.3743 0.6257 0.0000
0.8751 0.1249 0.0000
```

---

PBE-GGA DyHo2Mg4, relaxed; energy relative to the lowest polymorph listed for this composition = 1.73 eV per formula unit
1.0
-0.4045 -4.7170 -2.6697
4.1974 -2.3479 3.5125
-6.6581 -0.7797 2.3862
Ho Dy Mg
2 1 4
Direct
0.5000 0.8685 0.7370
0.5000 0.1315 0.2630
0.0000 0.5000 0.0000
0.0000 0.2555 0.5111
0.5000 0.6191 0.2382
0.0000 0.7445 0.4889
0.5000 0.3809 0.7618

---

The calculated formation energy results, record by record, are as follows: 0.021; 0.142; 0.012; 0.125; 0.022; -0.067; 0.109; 0.031; 0.058; -0.079; 0.235; 0.306; -0.066; 0.242; 0.141; 0.021; 0.206; -0.056; 0.020; 0.392 eV/atom.